First-principles (PBE+U) data for an optimized crystal structure of Hf2CoBrF, as listed in Alexandria.

Calculated values
M_tot	1.2	μB per formula unit
final energy	-5.55	eV/atom
N(E_F)	3.563	states/eV per cell

a = 4.682 Å, b = 4.682 Å, c = 4.047 Å
α = 90.00°, β = 90.00°, γ = 90.00°
Space group P4/mmm (No. 123)
One atom of each set of equivalent atoms:
Hf 0.000 0.500 0.000 (multiplicity 2)
Co 0.000 0.000 0.500 (multiplicity 1)
Br 0.500 0.500 0.500 (multiplicity 1)
F 0.000 0.000 0.000 (multiplicity 1)